Record 1
Compound: Sm4SnSb2Se
Source: Alexandria via LeMat-Bulk
Functional: PBE
Structure: relaxed

Geometry as POSCAR:
```
Sm4SnSb2Se
1.0
4.391 0.000 0.000
0.000 7.637 -0.159
0.000 2.680 7.164
Sm Sb Sn Se
4 2 1 1
Direct
0.500 0.255 0.747
0.000 0.746 0.747
0.000 0.254 0.253
0.500 0.745 0.253
0.500 0.000 0.500
0.000 0.000 0.000
0.500 0.500 0.000
0.000 0.500 0.500
```

Results
**Symmetry**: No. 10
**Crystal system**: monoclinic
**Spin magnetization**: 0.00 μB/f.u.
**DFT total energy**: -44.4 eV per cell



Record 2
Compound: Sm4SnSbSe2
Source: Alexandria via LeMat-Bulk
Functional: PBE
Structure: relaxed

Geometry as POSCAR:
```
Sm4SnSbSe2
1.0
-4.245 -0.876 0.323
1.513 -7.337 -0.023
1.029 -2.378 7.064
Sm Se Sb Sn
4 2 1 1
Direct
0.500 0.757 0.245
0.000 0.757 0.749
0.000 0.243 0.251
0.500 0.243 0.755
0.500 0.000 0.500
0.000 0.000 0.000
0.000 0.500 0.500
0.500 0.500 0.000
```

Results
**Symmetry**: No. 10
**Crystal system**: monoclinic
**Spin magnetization**: 0.00 μB/f.u.
**DFT total energy**: -45.1 eV per cell



Record 3
Compound: Sm6SnSb2Se3
Source: Alexandria via LeMat-Bulk
Functional: PBE
Structure: relaxed

Geometry as POSCAR:
```
Sm6SnSb2Se3
1.0
4.345 0.000 0.000
0.000 8.647 0.340
-2.172 -2.464 9.110
Sm Se Sb Sn
6 3 2 1
Direct
0.998 0.253 0.995
0.002 0.747 0.005
0.335 0.412 0.671
0.333 0.923 0.665
0.665 0.588 0.329
0.667 0.077 0.335
0.168 0.833 0.335
0.832 0.167 0.665
0.500 0.500 0.000
0.167 0.333 0.334
0.833 0.667 0.666
0.500 0.000 0.000
```

Results
**Symmetry**: No. 12
**Crystal system**: monoclinic
**Spin magnetization**: 0.00 μB/f.u.
**DFT total energy**: -68.2 eV per cell



Record 4
Compound: Sm6Sb3Te2Se
Source: Alexandria via LeMat-Bulk
Functional: PBE
Structure: relaxed

Geometry as POSCAR:
```
Sm6Sb3Te2Se
1.0
4.422 0.000 0.000
0.000 8.828 0.325
-2.211 -2.530 9.296
Sb Te Sm Se
3 2 6 1
Direct
0.830 0.164 0.661
0.500 0.500 0.000
0.170 0.836 0.339
0.834 0.666 0.668
0.166 0.334 0.332
0.664 0.590 0.327
0.661 0.075 0.323
0.004 0.759 0.007
0.336 0.410 0.673
0.339 0.925 0.677
0.996 0.241 0.993
0.500 0.000 0.000
```

Results
**Symmetry**: No. 12
**Crystal system**: monoclinic
**Spin magnetization**: 0.00 μB/f.u.
**DFT total energy**: -67.0 eV per cell



Record 5
Compound: Sm6SbTe2Se3
Source: Alexandria via LeMat-Bulk
Functional: PBE
Structure: relaxed

Geometry as POSCAR:
```
Sm6SbTe2Se3
1.0
-3.751 1.900 -0.859
0.821 -2.165 -8.371
-2.700 -8.277 4.202
Te Sb Sm Se
2 1 6 3
Direct
0.168 0.336 0.336
0.832 0.664 0.664
0.500 0.000 0.000
0.659 0.601 0.318
0.670 0.064 0.339
0.330 0.936 0.661
0.994 0.257 0.988
0.341 0.399 0.682
0.006 0.743 0.012
0.168 0.834 0.335
0.500 0.500 0.000
0.832 0.166 0.665
```

Results
**Symmetry**: No. 12
**Crystal system**: monoclinic
**Spin magnetization**: 0.00 μB/f.u.
**DFT total energy**: -68.1 eV per cell



Record 6
Compound: Sm6Sb3TeSe2
Source: Alexandria via LeMat-Bulk
Functional: PBE
Structure: relaxed

Geometry as POSCAR:
```
Sm6Sb3TeSe2
1.0
-2.466 3.612 -0.255
-2.942 -1.436 8.099
8.963 3.573 1.576
Se Sm Sb Te
2 6 3 1
Direct
0.832 0.666 0.664
0.168 0.334 0.336
0.005 0.259 0.010
0.330 0.422 0.660
0.670 0.578 0.340
0.671 0.093 0.343
0.995 0.741 0.990
0.329 0.907 0.657
0.163 0.832 0.326
0.837 0.168 0.674
0.500 0.500 0.000
0.500 0.000 0.000
```

Results
**Symmetry**: No. 12
**Crystal system**: monoclinic
**Spin magnetization**: 0.00 μB/f.u.
**DFT total energy**: -68.0 eV per cell



Record 7
Compound: Sm8SbTe4Se3
Source: Alexandria via LeMat-Bulk
Functional: PBE
Structure: relaxed

Geometry as POSCAR:
```
Sm8SbTe4Se3
1.0
8.661 0.000 0.000
0.000 8.759 0.063
-4.330 -4.326 6.127
Sm Te Se Sb
8 4 3 1
Direct
0.739 0.717 0.478
0.247 0.724 0.977
0.753 0.276 0.023
0.730 0.724 0.977
0.247 0.724 0.494
0.753 0.276 0.506
0.261 0.283 0.522
0.270 0.276 0.023
0.500 0.000 0.500
0.000 0.000 0.500
0.000 0.000 0.000
0.500 0.000 0.000
0.500 0.500 0.000
0.000 0.500 0.500
0.500 0.500 0.500
0.000 0.500 0.000
```

Results
**Symmetry**: No. 166
**Crystal system**: trigonal
**Spin magnetization**: 0.00 μB/f.u.
**DFT total energy**: -89.5 eV per cell



Record 8
Compound: Sm4Sb2TeSe
Source: Alexandria via LeMat-Bulk
Functional: PBE
Structure: relaxed

Geometry as POSCAR:
```
Sm4Sb2TeSe
1.0
4.408 0.000 0.000
0.000 7.584 -0.129
0.000 2.690 7.158
Sm Se Te Sb
4 1 1 2
Direct
0.000 0.752 0.741
0.500 0.254 0.741
0.500 0.746 0.259
0.000 0.248 0.259
0.000 0.500 0.500
0.500 0.500 0.000
0.500 0.000 0.500
0.000 0.000 0.000
```

Results
**Symmetry**: No. 10
**Crystal system**: monoclinic
**Spin magnetization**: 0.00 μB/f.u.
**DFT total energy**: -45.0 eV per cell



Question: Look up the spin magnetization of the eighth one.
Answer: 0.00 μB/f.u.